# Li2GePd8

Li2GePd8 after structural relaxation (PBE-GGA, the Alexandria database).

Cell lengths 4.2835, 7.0801, 6.8253 Å; angles 121.24, 108.29, 90.00 degrees
Atoms (fractional coordinates):
Li 0.2062 0.7062 0.4123
Li 0.7938 0.2938 0.5877
Ge 0.5000 0.0000 0.0000
Pd 0.6510 0.8677 0.3021
Pd 0.3490 0.5657 0.6979
Pd 0.1381 0.1381 0.2762
Pd 0.0000 0.3185 0.0000
Pd 0.8619 0.8619 0.7238
Pd 0.6510 0.4343 0.3021
Pd 0.3490 0.1323 0.6979
Pd 0.0000 0.6815 0.0000

Calculated values
energy above the lowest structure with this stoichiometry	0.050	eV/atom
crystal system	orthorhombic
symmetry	No. 71

# Li5GePd5

Li5GePd5 after structural relaxation (PBE-GGA, the Alexandria database).

Cell lengths 4.6953, 7.5439, 5.5699 Å; angles 111.85, 90.00, 108.13 degrees
Atoms (fractional coordinates):
Li 0.6825 0.3649 0.1813
Li 0.6468 0.2937 0.6467
Li 0.0000 0.0000 0.5000
Li 0.3532 0.7063 0.3533
Li 0.3175 0.6351 0.8187
Ge 0.0000 0.0000 0.0000
Pd 0.8378 0.6756 0.0816
Pd 0.8377 0.6754 0.5931
Pd 0.5000 0.0000 0.0000
Pd 0.1623 0.3246 0.4069
Pd 0.1622 0.3244 0.9184

Calculated values
crystal system	monoclinic
symmetry	No. 12

no.,E_form (eV per formula unit),size of the total moment (Bohr magnetons per cell)
1,-2.81,0.0
2,-3.96,0.0